1.
# Cd2SiRu | Alexandria | GGA-PBE | optimized geometry
# **Mass density**: 7.94 g/cm3
# **DOS(E_F)**: 6.0 states/eV per cell
# **Size of the total moment**: 0.316 μB per atom
# **Total energy**: -0.13430 Ha/atom
data_Cd2SiRu
_cell_length_a 4.081
_cell_length_b 4.088
_cell_length_c 8.879
_cell_angle_alpha 90.00
_cell_angle_beta 90.00
_cell_angle_gamma 90.00
_space_group_name_H-M_alt 'C m m m'
_space_group_IT_number 65
_space_group_name_Hall '-C 2 2'
loop_
_atom_site_label
_atom_site_fract_x
_atom_site_fract_y
_atom_site_fract_z
_atom_site_occupancy
Cd1 0.000 0.000 0.229 1
Si1 0.000 0.500 0.500 1
Ru1 0.000 0.500 0.000 1

2.
# CdSi2Ru | Alexandria | GGA-PBE | optimized geometry
# **Mass density**: 7.31 g/cm3
# **DOS(E_F)**: 4.8 states/eV per cell
# **Size of the total moment**: 0.000 μB per atom
# **Total energy**: -0.18167 Ha/atom
data_CdSi2Ru
_cell_length_a 3.878
_cell_length_b 3.878
_cell_length_c 8.141
_cell_angle_alpha 90.00
_cell_angle_beta 90.00
_cell_angle_gamma 90.00
_space_group_name_H-M_alt 'I -4 m 2'
_space_group_IT_number 119
_space_group_name_Hall 'I -4 -2'
loop_
_atom_site_label
_atom_site_fract_x
_atom_site_fract_y
_atom_site_fract_z
_atom_site_occupancy
Cd1 0.000 0.000 0.000 1
Si1 0.000 0.000 0.500 1
Si2 0.000 0.500 0.250 1
Ru1 0.000 0.500 0.750 1

3.
# Cd4SiRu | Alexandria | GGA-PBE | optimized geometry
# **Mass density**: 8.05 g/cm3
# **DOS(E_F)**: 18.8 states/eV per cell
# **Size of the total moment**: 0.000 μB per atom
# **Total energy**: -0.08974 Ha/atom
data_Cd4SiRu
_cell_length_a 7.815
_cell_length_b 7.815
_cell_length_c 7.815
_cell_angle_alpha 90.00
_cell_angle_beta 90.00
_cell_angle_gamma 90.00
_space_group_name_H-M_alt 'F -4 3 m'
_space_group_IT_number 216
_space_group_name_Hall 'F -4 2 3'
loop_
_atom_site_label
_atom_site_fract_x
_atom_site_fract_y
_atom_site_fract_z
_atom_site_occupancy
Cd1 0.124 0.124 0.124 1
Si1 0.000 0.000 0.500 1
Ru1 0.250 0.250 0.750 1

4.
# CdSi2Ru | Alexandria | GGA-PBE | optimized geometry
# **Mass density**: 6.90 g/cm3
# **DOS(E_F)**: 8.3 states/eV per cell
# **Size of the total moment**: 0.058 μB per atom
# **Total energy**: -0.18737 Ha/atom
data_CdSi2Ru
_cell_length_a 3.0249
_cell_length_b 3.0249
_cell_length_c 24.5608
_cell_angle_alpha 90.00
_cell_angle_beta 90.00
_cell_angle_gamma 120.00
_space_group_name_H-M_alt 'R 3 m'
_space_group_IT_number 160
_space_group_name_Hall 'R 3 -2"'
loop_
_atom_site_label
_atom_site_fract_x
_atom_site_fract_y
_atom_site_fract_z
_atom_site_occupancy
Cd1 0.0000 0.0000 0.0000 1
Si1 0.0000 0.0000 0.2353 1
Si2 0.0000 0.0000 0.4952 1
Ru1 0.0000 0.0000 0.7614 1

5.
# Cd2SiRu | Alexandria | GGA-PBE | optimized geometry
# **Mass density**: 7.78 g/cm3
# **DOS(E_F)**: 14.0 states/eV per cell
# **Size of the total moment**: 0.000 μB per atom
# **Total energy**: -0.13068 Ha/atom
data_Cd2SiRu
_cell_length_a 7.666
_cell_length_b 7.666
_cell_length_c 5.143
_cell_angle_alpha 90.00
_cell_angle_beta 90.00
_cell_angle_gamma 90.00
_space_group_name_H-M_alt 'I -4 2 d'
_space_group_IT_number 122
_space_group_name_Hall 'I -4 2bw'
loop_
_atom_site_label
_atom_site_fract_x
_atom_site_fract_y
_atom_site_fract_z
_atom_site_occupancy
Cd1 0.241 0.250 0.125 1
Si1 0.000 0.000 0.000 1
Ru1 0.000 0.000 0.500 1

6.
# CdSi2Ru2 | Alexandria | GGA-PBE | optimized geometry
# **Mass density**: 8.36 g/cm3
# **DOS(E_F)**: 4.4 states/eV per cell
# **Size of the total moment**: 0.000 μB per atom
# **Total energy**: -0.23476 Ha/atom
data_CdSi2Ru2
_cell_length_a 7.128
_cell_length_b 7.128
_cell_length_c 2.897
_cell_angle_alpha 90.00
_cell_angle_beta 90.00
_cell_angle_gamma 90.00
_space_group_name_H-M_alt 'P 4/m b m'
_space_group_IT_number 127
_space_group_name_Hall '-P 4 2ab'
loop_
_atom_site_label
_atom_site_fract_x
_atom_site_fract_y
_atom_site_fract_z
_atom_site_occupancy
Cd1 0.000 0.000 0.000 1
Si1 0.144 0.356 0.500 1
Ru1 0.147 0.647 0.000 1

7.
# CdSi2Ru | Alexandria | GGA-PBE | optimized geometry
# **Mass density**: 7.05 g/cm3
# **DOS(E_F)**: 11.6 states/eV per cell
# **Size of the total moment**: 0.000 μB per atom
# **Total energy**: -0.17446 Ha/atom
data_CdSi2Ru
_cell_length_a 6.333
_cell_length_b 6.333
_cell_length_c 6.333
_cell_angle_alpha 90.00
_cell_angle_beta 90.00
_cell_angle_gamma 90.00
_space_group_name_H-M_alt 'F -4 3 m'
_space_group_IT_number 216
_space_group_name_Hall 'F -4 2 3'
loop_
_atom_site_label
_atom_site_fract_x
_atom_site_fract_y
_atom_site_fract_z
_atom_site_occupancy
Cd1 0.000 0.000 0.000 1
Si1 0.000 0.000 0.500 1
Si2 0.250 0.250 0.750 1
Ru1 0.250 0.250 0.250 1

8.
# CdSi3Ru | Alexandria | GGA-PBE | optimized geometry
# **Mass density**: 4.85 g/cm3
# **DOS(E_F)**: 4.3 states/eV per cell
# **Size of the total moment**: 0.000 μB per atom
# **Relative energy among the computed polymorphs**: 0.0 meV/atom
# **Total energy**: -0.17986 Ha/atom
data_CdSi3Ru
_cell_length_a 4.670
_cell_length_b 4.670
_cell_length_c 4.670
_cell_angle_alpha 90.00
_cell_angle_beta 90.00
_cell_angle_gamma 90.00
_space_group_name_H-M_alt 'P m -3 m'
_space_group_IT_number 221
_space_group_name_Hall '-P 4 2 3'
loop_
_atom_site_label
_atom_site_fract_x
_atom_site_fract_y
_atom_site_fract_z
_atom_site_occupancy
Cd1 0.000 0.000 0.000 1
Si1 0.000 0.500 0.500 1
Ru1 0.500 0.500 0.500 1

9.
# CdSi2Ru | Alexandria | GGA-PBE | optimized geometry
# **Mass density**: 6.67 g/cm3
# **DOS(E_F)**: 2.3 states/eV per cell
# **Size of the total moment**: 0.000 μB per atom
# **Total energy**: -0.18790 Ha/atom
data_CdSi2Ru
_cell_length_a 3.263
_cell_length_b 4.257
_cell_length_c 4.835
_cell_angle_alpha 90.00
_cell_angle_beta 90.00
_cell_angle_gamma 90.00
_space_group_name_H-M_alt 'P m m m'
_space_group_IT_number 47
_space_group_name_Hall '-P 2 2'
loop_
_atom_site_label
_atom_site_fract_x
_atom_site_fract_y
_atom_site_fract_z
_atom_site_occupancy
Cd1 0.000 0.000 0.000 1
Si1 0.500 0.500 0.251 1
Ru1 0.500 0.000 0.500 1

10.
# CdSi2Ru | Alexandria | GGA-PBE | optimized geometry
# **Mass density**: 6.81 g/cm3
# **DOS(E_F)**: 1.5 states/eV per cell
# **Size of the total moment**: 0.000 μB per atom
# **Total energy**: -0.19261 Ha/atom
data_CdSi2Ru
_cell_length_a 3.076
_cell_length_b 3.076
_cell_length_c 6.944
_cell_angle_alpha 90.00
_cell_angle_beta 90.00
_cell_angle_gamma 90.00
_space_group_name_H-M_alt 'P 4 m m'
_space_group_IT_number 99
_space_group_name_Hall 'P 4 -2'
loop_
_atom_site_label
_atom_site_fract_x
_atom_site_fract_y
_atom_site_fract_z
_atom_site_occupancy
Cd1 0.000 0.000 0.000 1
Si1 0.000 0.000 0.451 1
Si2 0.500 0.500 0.661 1
Ru1 0.500 0.500 0.294 1

11.
# CdSi2Ru | Alexandria | GGA-PBE | optimized geometry
# **Mass density**: 6.76 g/cm3
# **DOS(E_F)**: 2.2 states/eV per cell
# **Size of the total moment**: 0.000 μB per atom
# **Total energy**: -0.19348 Ha/atom
data_CdSi2Ru
_cell_length_a 2.946
_cell_length_b 2.946
_cell_length_c 7.636
_cell_angle_alpha 90.00
_cell_angle_beta 90.00
_cell_angle_gamma 90.00
_space_group_name_H-M_alt 'P 4/m m m'
_space_group_IT_number 123
_space_group_name_Hall '-P 4 2'
loop_
_atom_site_label
_atom_site_fract_x
_atom_site_fract_y
_atom_site_fract_z
_atom_site_occupancy
Cd1 0.000 0.000 0.000 1
Si1 0.500 0.500 0.309 1
Ru1 0.000 0.000 0.500 1

12.
# CdSi2Ru | Alexandria | GGA-PBE | optimized geometry
# **Mass density**: 6.95 g/cm3
# **DOS(E_F)**: 3.0 states/eV per cell
# **Size of the total moment**: 0.000 μB per atom
# **Total energy**: -0.19287 Ha/atom
data_CdSi2Ru
_cell_length_a 8.151
_cell_length_b 3.087
_cell_length_c 5.177
_cell_angle_alpha 90.00
_cell_angle_beta 98.27
_cell_angle_gamma 90.00
_space_group_name_H-M_alt 'C 1 2/m 1'
_space_group_IT_number 12
_space_group_name_Hall '-C 2y'
loop_
_atom_site_label
_atom_site_fract_x
_atom_site_fract_y
_atom_site_fract_z
_atom_site_occupancy
Cd1 0.000 0.000 0.000 1
Si1 0.231 0.000 0.687 1
Ru1 0.000 0.500 0.500 1

13.
# CdSi4Ru | Alexandria | GGA-PBE | optimized geometry
# **Mass density**: 5.80 g/cm3
# **DOS(E_F)**: 14.0 states/eV per cell
# **Size of the total moment**: 0.000 μB per atom
# **Total energy**: -0.17597 Ha/atom
data_CdSi4Ru
_cell_length_a 7.200
_cell_length_b 7.200
_cell_length_c 7.200
_cell_angle_alpha 90.00
_cell_angle_beta 90.00
_cell_angle_gamma 90.00
_space_group_name_H-M_alt 'F -4 3 m'
_space_group_IT_number 216
_space_group_name_Hall 'F -4 2 3'
loop_
_atom_site_label
_atom_site_fract_x
_atom_site_fract_y
_atom_site_fract_z
_atom_site_occupancy
Cd1 0.000 0.000 0.000 1
Si1 0.124 0.124 0.376 1
Ru1 0.250 0.250 0.750 1

14.
# CdSi2Ru | Alexandria | GGA-PBE | optimized geometry
# **Mass density**: 6.54 g/cm3
# **DOS(E_F)**: 2.6 states/eV per cell
# **Size of the total moment**: 0.000 μB per atom
# **Total energy**: -0.19069 Ha/atom
data_CdSi2Ru
_cell_length_a 8.320
_cell_length_b 3.067
_cell_length_c 5.416
_cell_angle_alpha 90.00
_cell_angle_beta 97.63
_cell_angle_gamma 90.00
_space_group_name_H-M_alt 'C 1 m 1'
_space_group_IT_number 8
_space_group_name_Hall 'C -2y'
loop_
_atom_site_label
_atom_site_fract_x
_atom_site_fract_y
_atom_site_fract_z
_atom_site_occupancy
Cd1 0.000 0.000 0.000 1
Si1 0.028 0.500 0.560 1
Si2 0.264 0.500 0.291 1
Ru1 0.251 0.000 0.634 1

15.
# CdSi2Ru | Alexandria | GGA-PBE | optimized geometry
# **Mass density**: 6.92 g/cm3
# **DOS(E_F)**: 1.7 states/eV per cell
# **Size of the total moment**: 0.000 μB per atom
# **Total energy**: -0.19452 Ha/atom
data_CdSi2Ru
_cell_length_a 3.0070
_cell_length_b 3.0070
_cell_length_c 24.8017
_cell_angle_alpha 90.00
_cell_angle_beta 90.00
_cell_angle_gamma 120.00
_space_group_name_H-M_alt 'R -3 m'
_space_group_IT_number 166
_space_group_name_Hall '-R 3 2"'
loop_
_atom_site_label
_atom_site_fract_x
_atom_site_fract_y
_atom_site_fract_z
_atom_site_occupancy
Cd1 0.0000 0.0000 0.0000 1
Si1 0.0000 0.0000 0.2373 1
Ru1 0.0000 0.0000 0.5000 1